Material: CeUZn17
Method: DFT, SCAN
State: PBEsol geometry

As for the uncorrected energy: -380.985 eV for the cell shown. The magnetic moment is 3.45 Bohr magnetons per cell. As for the energy relative to the elements: -165 meV/atom.

The structure in POSCAR format:
```
CeUZn17
1.0
6.674 -0.024 -0.021
0.870 6.617 -0.021
0.870 0.760 6.573
Ce U Zn
1 1 17
Direct
0.662 0.662 0.662
0.337 0.337 0.337
0.295 0.704 0.001
0.704 0.001 0.295
0.001 0.295 0.704
0.295 0.001 0.704
0.001 0.704 0.295
0.704 0.295 0.001
0.843 0.351 0.351
0.351 0.351 0.843
0.351 0.843 0.351
0.162 0.646 0.646
0.646 0.646 0.162
0.646 0.162 0.646
0.000 0.000 0.500
0.000 0.500 0.000
0.500 0.000 0.000
0.901 0.901 0.901
0.102 0.102 0.102
```

Material: CeZn5
Method: DFT, SCAN
State: PBEsol geometry

As for the uncorrected energy: -114.087 eV for the cell shown. The magnetic moment is 0.97 Bohr magnetons per cell. As for the energy relative to the elements: -325 meV/atom.

The structure in POSCAR format:
```
CeZn5
1.0
-3.765 -1.160 -1.424
2.268 -2.201 -4.204
-0.773 -2.840 4.359
Zn Ce
5 1
Direct
0.500 0.500 0.000
0.000 0.333 0.667
0.000 0.667 0.333
0.500 0.000 0.500
0.500 0.500 0.500
0.000 0.000 0.000
```

Material: CeZn11
Method: DFT, SCAN
State: PBEsol geometry

As for the uncorrected energy: -392.492 eV for the cell shown. The magnetic moment is 2.39 Bohr magnetons per cell. As for the energy relative to the elements: -251 meV/atom.

The structure in POSCAR format:
```
CeZn11
1.0
-3.594 -5.707 0.461
4.177 -6.755 -1.484
-0.084 -3.358 7.348
Ce Zn
2 22
Direct
0.750 0.500 0.500
0.000 0.000 0.000
0.096 0.327 0.084
0.375 0.750 0.250
0.577 0.916 0.327
0.507 0.916 0.673
0.577 0.327 0.916
0.243 0.584 0.827
0.507 0.673 0.916
0.500 0.000 0.000
0.243 0.827 0.584
0.250 0.500 0.500
0.930 0.416 0.827
0.875 0.750 0.750
0.654 0.173 0.416
0.173 0.173 0.584
0.096 0.084 0.327
0.820 0.084 0.673
0.930 0.827 0.416
0.654 0.416 0.173
0.173 0.584 0.173
0.820 0.673 0.084
0.375 0.250 0.250
0.375 0.250 0.750
```

Material: Ce3Zn22
Method: DFT, SCAN
State: PBEsol geometry

As for the uncorrected energy: -876.961 eV for the cell shown. The magnetic moment is 5.05 Bohr magnetons per cell. As for the energy relative to the elements: -298 meV/atom.

The structure in POSCAR format:
```
Ce3Zn22
1.0
8.705 0.000 0.000
0.000 8.705 0.000
-4.353 -4.353 10.401
Ce Zn
6 44
Direct
0.378 0.378 0.755
0.628 0.128 0.255
0.872 0.372 0.745
0.622 0.622 0.245
0.250 0.750 0.500
0.000 0.000 0.000
0.083 0.555 0.628
0.545 0.555 0.628
0.805 0.833 0.128
0.323 0.833 0.128
0.083 0.073 0.628
0.545 0.073 0.628
0.805 0.295 0.128
0.323 0.295 0.128
0.167 0.195 0.872
0.705 0.195 0.872
0.445 0.917 0.372
0.927 0.917 0.372
0.167 0.677 0.872
0.705 0.677 0.872
0.445 0.455 0.372
0.927 0.455 0.372
0.501 0.723 0.003
0.973 0.251 0.503
0.530 0.251 0.503
0.501 0.280 0.003
0.749 0.027 0.497
0.277 0.499 0.997
0.720 0.499 0.997
0.749 0.470 0.497
0.242 0.389 0.483
0.639 0.992 0.983
0.344 0.992 0.983
0.242 0.094 0.483
0.008 0.361 0.017
0.611 0.758 0.517
0.906 0.758 0.517
0.008 0.656 0.017
0.388 0.040 0.775
0.290 0.138 0.275
0.985 0.138 0.275
0.388 0.735 0.775
0.862 0.710 0.725
0.960 0.612 0.225
0.265 0.612 0.225
0.862 0.015 0.725
0.125 0.375 0.250
0.625 0.875 0.750
0.125 0.875 0.750
0.125 0.875 0.250
```

Material: Ce3Zn
Method: DFT, SCAN
State: PBEsol geometry

As for the uncorrected energy: -147.540 eV for the cell shown. The magnetic moment is 2.90 Bohr magnetons per cell. As for the energy relative to the elements: -83 meV/atom.

The structure in POSCAR format:
```
Ce3Zn
1.0
4.452 0.000 0.000
0.000 4.452 0.000
-2.226 -2.226 4.524
Zn Ce
1 3
Direct
0.000 0.000 0.000
0.250 0.750 0.500
0.750 0.250 0.500
0.500 0.500 0.000
```

Material: CoCl2
Method: DFT, SCAN
State: PBEsol geometry

As for the uncorrected energy: -68.050 eV for the cell shown. The magnetic moment is 6.00 Bohr magnetons per cell. The formation energy from raw total energies comes out at -255 meV/atom.

The structure in POSCAR format:
```
CoCl2
1.0
-2.188 -2.477 -2.002
0.348 -0.388 3.829
-6.960 5.209 1.160
Co Cl
2 4
Direct
0.333 0.667 0.750
0.667 0.333 0.250
0.000 0.000 0.000
0.000 0.000 0.500
0.667 0.333 0.750
0.333 0.667 0.250
```

Copy entry 2 word for word.
Material: CeZn5
Method: DFT, SCAN
State: PBEsol geometry

As for the uncorrected energy: -114.087 eV for the cell shown. The magnetic moment is 0.97 Bohr magnetons per cell. As for the energy relative to the elements: -325 meV/atom.

The structure in POSCAR format:
```
CeZn5
1.0
-3.765 -1.160 -1.424
2.268 -2.201 -4.204
-0.773 -2.840 4.359
Zn Ce
5 1
Direct
0.500 0.500 0.000
0.000 0.333 0.667
0.000 0.667 0.333
0.500 0.000 0.500
0.500 0.500 0.500
0.000 0.000 0.000
```

Among the records above, which one has the highest uncorrected energy?
CoCl2

What did the second record say?
Material: CeZn5
Method: DFT, SCAN
State: PBEsol geometry

As for the uncorrected energy: -114.087 eV for the cell shown. The magnetic moment is 0.97 Bohr magnetons per cell. As for the energy relative to the elements: -325 meV/atom.

The structure in POSCAR format:
```
CeZn5
1.0
-3.765 -1.160 -1.424
2.268 -2.201 -4.204
-0.773 -2.840 4.359
Zn Ce
5 1
Direct
0.500 0.500 0.000
0.000 0.333 0.667
0.000 0.667 0.333
0.500 0.000 0.500
0.500 0.500 0.500
0.000 0.000 0.000
```

Which value of uncorrected energy does entry 4 give?
-876.961 eV for the cell shown